Below is a geometry-optimized TaInIr2 structure, with properties calculated at the PBEsol level.

```
data_TaInIr2
_chemical_formula_sum 'Ta1 In1 Ir2'
_cell_length_a 3.510
_cell_length_b 3.510
_cell_length_c 5.474
_cell_angle_alpha 90.00
_cell_angle_beta 90.00
_cell_angle_gamma 90.00
_symmetry_space_group_name_H-M 'P 1'
_symmetry_Int_Tables_number 1
loop_
_symmetry_equiv_pos_as_xyz
'x,y,z'
loop_
_atom_site_label
_atom_site_fract_x
_atom_site_fract_y
_atom_site_fract_z
Ta1 0.000 0.000 0.000
In1 0.500 0.500 0.325
Ir1 0.000 0.000 0.524
Ir2 0.500 0.500 0.827
```

Summary:
- density of states at the Fermi level (states/eV per cell) = 3.21
- energy of formation from the pure elements (eV/f.u.) = -0.17

=====

Below is a geometry-optimized Ta2InIr structure, with properties calculated at the PBEsol level.

```
data_Ta2InIr
_chemical_formula_sum 'Ta2 In1 Ir1'
_cell_length_a 3.474
_cell_length_b 3.474
_cell_length_c 5.786
_cell_angle_alpha 90.00
_cell_angle_beta 90.00
_cell_angle_gamma 90.00
_symmetry_space_group_name_H-M 'P 1'
_symmetry_Int_Tables_number 1
loop_
_symmetry_equiv_pos_as_xyz
'x,y,z'
loop_
_atom_site_label
_atom_site_fract_x
_atom_site_fract_y
_atom_site_fract_z
Ta1 0.000 0.000 0.224
Ta2 0.000 0.000 0.776
In1 0.500 0.500 0.500
Ir1 0.500 0.500 0.000
```

Summary:
- density of states at the Fermi level (states/eV per cell) = 3.84
- energy of formation from the pure elements (eV/f.u.) = 0.12

=====

The following total DFT energy (no corrections) values (in eV per cell) correspond, in order, to the records above: -35.35; -37.79.